DFT (GGA+U) results for an optimized crystal structure of UMn2VO8.

The structure in POSCAR format:
```
UMn2VO8
1.0
3.248 -3.281 0.000
3.248 3.281 0.000
0.000 0.000 6.500
U Mn V O
1 2 1 8
Cartesian
0.000 0.000 0.000 U
3.248 0.000 1.749 Mn
3.248 0.000 4.751 Mn
0.000 0.000 3.250 V
1.311 0.000 1.703 O
1.311 0.000 4.797 O
3.248 1.410 3.250 O
3.248 1.292 0.000 O
3.248 -1.292 0.000 O
3.248 -1.410 3.250 O
5.185 0.000 1.703 O
5.185 0.000 4.797 O
```

space group: No. 65
uncorrected energy: -8.262 eV/atom